Here is a geometry-optimized K4TbNd3Te8 structure from the Alexandria database. Energies are from PBE.

```
16
Lattice="9.1870 0.0000 0.0000 0.0000 9.8070 0.4254 -4.5935 -4.5915 6.4989" Properties=species:S:1:pos:R:3 pbc="T T T"
K 4.5935 0.0000 0.0000
K 2.2968 -2.2957 3.2495
K 0.0000 0.0000 0.0000
K -2.2968 -2.2957 3.2495
Tb 0.0000 4.9035 0.2127
Nd 4.5935 4.9035 0.2127
Nd 2.2968 2.6077 3.4622
Nd -2.2968 2.6077 3.4622
Te -2.3373 2.4964 6.6601
Te 0.0000 4.8326 3.3539
Te 0.0000 0.3891 3.5181
Te 2.3374 2.4964 6.6601
Te 2.2562 2.7191 0.2642
Te 4.5935 4.8264 3.4062
Te 4.5935 0.3829 3.5704
Te 6.9309 2.7191 0.2642
```

Results
* mass density: 4.87 g/cm3
* raw formation energy: -32.573 kcal/mol of atoms
* magnetic moment: 0.000 μB/atom
* V: 37.7 Å³/atom